1.
# Rb3Pr2PdO6, optimized geometry, DFT PBE-GGA
data_Rb3Pr2PdO6
_cell_length_a 6.331
_cell_length_b 10.536
_cell_length_c 6.954
_cell_angle_alpha 90.00
_cell_angle_beta 108.86
_cell_angle_gamma 90.00
_space_group_name_H-M_alt 'C 1 2/m 1'
_space_group_IT_number 12
_space_group_name_Hall '-C 2y'
loop_
_atom_site_label
_atom_site_fract_x
_atom_site_fract_y
_atom_site_fract_z
_atom_site_occupancy
Rb1 0.000 0.000 0.000 1
Rb2 0.000 0.338 0.000 1
Pr1 0.000 0.165 0.500 1
Pd1 0.000 0.500 0.500 1
O1 0.213 0.349 0.669 1
O2 0.215 0.000 0.710 1
# Volume   18.3 A^3/atom
# Energy   -0.4262 Ry per atom
# Formation energy without anion corrections   -1849 meV/atom
# Total magnetization   0.937 μB/f.u.

***

2.
# AlSiSe2, optimized geometry, DFT PBE-GGA
data_AlSiSe2
_cell_length_a 3.589
_cell_length_b 6.709
_cell_length_c 7.463
_cell_angle_alpha 90.00
_cell_angle_beta 90.00
_cell_angle_gamma 90.00
_space_group_name_H-M_alt 'C m m m'
_space_group_IT_number 65
_space_group_name_Hall '-C 2 2'
loop_
_atom_site_label
_atom_site_fract_x
_atom_site_fract_y
_atom_site_fract_z
_atom_site_occupancy
Al1 0.000 0.000 0.000 1
Si1 0.000 0.000 0.500 1
Se1 0.000 0.500 0.236 1
# Relative energy among the computed polymorphs   467 meV/atom
# Volume   22.5 A^3/atom
# Energy   -0.2893 Ry per atom
# Formation energy without anion corrections   98 meV/atom
# Total magnetization   0.000 μB/f.u.